PBE Na2CdGaF8, relaxed; E_tot = -0.152 hartree per atom; calculated volume = 172 Å³ per cell; formation energy from raw total energies = -2.34 eV/atom
1.0
5.057 0.000 0.000
0.000 6.696 0.000
-0.209 0.000 5.080
Na Cd Ga F
2 1 1 8
Cartesian
0.000 1.581 0.000 Na
0.000 5.115 0.000 Na
2.424 3.348 2.540 Cd
2.424 0.000 2.540 Ga
0.966 3.348 1.047 F
1.115 0.000 1.192 F
1.489 1.461 3.457 F
1.489 5.235 3.457 F
3.359 1.461 1.623 F
3.359 5.235 1.623 F
3.734 0.000 3.888 F
3.882 3.348 4.033 F